Entry 1:
## MgZnSe2 (PBE)

Data for a relaxed structure of MgZnSe2.

a b c (Å): 7.416 7.416 3.725
angles (deg): 90.87 90.87 29.04
Element x y z (fractional)
Mg 0.198 0.198 0.130
Se 0.014 0.014 0.118
Se 0.733 0.733 0.632
Zn 0.554 0.554 0.621

Summary:
Total energy ... -3.219 eV/atom
Total magnetic moment ... 0.00 μB per formula unit
Formation energy without anion corrections ... -0.7593 eV per atom

=====

Entry 2:
## ZnNiRu (PBE)

Data for a relaxed structure of ZnNiRu.

a b c (Å): 4.192 4.192 2.567
angles (deg): 90.00 90.00 120.00
Site moments in Bohr magnetons follow the coordinates.
Element x y z (fractional)
Ni 0.000 0.000 0.833  0.48
Ru 0.667 0.333 0.333  0.80
Zn 0.333 0.667 0.834  -0.01

Summary:
Total energy ... -5.323 eV/atom
Total magnetic moment ... 1.26 μB per formula unit

=====

Entry 3:
## Si3HPb (PBE)

Data for a relaxed structure of Si3HPb.

a b c (Å): 4.359 4.359 4.359
angles (deg): 90.00 90.00 90.00
Element x y z (fractional)
Pb 0.500 0.500 0.500
H 0.000 0.000 0.000
Si 0.000 0.500 0.000
Si 0.000 0.000 0.500
Si 0.500 0.000 0.000

Summary:
Total energy ... -3.917 eV/atom
Total magnetic moment ... 0.00 μB per formula unit

=====

Entry 4:
## Dy8Te4PPt3 (PBE)

Data for a relaxed structure of Dy8Te4PPt3.

a b c (Å): 8.329 8.653 8.329
angles (deg): 118.77 120.00 90.00
Element x y z (fractional)
Dy 0.238 0.713 0.975
Dy 0.238 0.713 0.476
Dy 0.264 0.291 0.527
Dy 0.737 0.713 0.975
Dy 0.263 0.287 0.025
Dy 0.736 0.709 0.473
Dy 0.762 0.287 0.524
Dy 0.762 0.287 0.025
Te 0.500 0.000 0.000
Te 0.500 0.000 0.500
Te 0.000 0.000 0.000
Te 0.000 0.000 0.500
P 0.000 0.500 0.000
Pt 0.500 0.500 0.000
Pt 0.500 0.500 0.500
Pt 0.000 0.500 0.500

Summary:
Total energy ... -5.871 eV/atom
Total magnetic moment ... 0.00 μB per formula unit
Formation energy without anion corrections ... -1.3134 eV per atom

=====

Entry 5:
## MgNpRu2 (PBE)

Data for a relaxed structure of MgNpRu2.

a b c (Å): 3.276 3.276 6.418
angles (deg): 90.00 90.00 90.00
Site moments in Bohr magnetons follow the coordinates.
Element x y z (fractional)
Np 0.500 0.500 0.000  2.86
Ru 0.000 0.000 0.759  -0.32
Ru 0.000 0.000 0.241  -0.32
Mg 0.500 0.500 0.500  0.01

Summary:
Total energy ... -8.383 eV/atom
Total magnetic moment ... 2.35 μB per formula unit

=====

Entry 6:
## Mg8Cd2Ir (PBE)

Data for a relaxed structure of Mg8Cd2Ir.

a b c (Å): 4.762 6.816 8.136
angles (deg): 112.90 107.02 90.00
Element x y z (fractional)
Mg 0.385 0.591 0.770
Mg 0.648 0.902 0.297
Mg 0.823 0.789 0.647
Mg 0.988 0.218 0.977
Mg 0.177 0.211 0.353
Mg 0.352 0.098 0.703
Mg 0.615 0.409 0.230
Mg 0.012 0.782 0.023
Cd 0.816 0.326 0.633
Cd 0.184 0.674 0.367
Ir 0.500 0.000 0.000

Summary:
Total energy ... -2.277 eV/atom
Total magnetic moment ... 0.00 μB per formula unit

=====

Entry 7:
## KEuHgAs (PBE)

Data for a relaxed structure of KEuHgAs.

a b c (Å): 5.471 5.471 5.471
angles (deg): 60.00 60.00 60.00
Site moments in Bohr magnetons follow the coordinates.
Element x y z (fractional)
Eu 0.750 0.750 0.750  -6.87
As 0.000 0.000 0.000  0.06
K 0.250 0.250 0.250  0.00
Hg 0.500 0.500 0.500  -0.01

Summary:
Total energy ... -4.659 eV/atom
Total magnetic moment ... 7.00 μB per formula unit

=====

Entry 8:
## K2BeBr (PBE)

Data for a relaxed structure of K2BeBr.

a b c (Å): 5.739 4.100 5.751
angles (deg): 89.99 90.00 90.00
Element x y z (fractional)
Be 0.000 0.627 0.374
K 0.000 0.125 0.874
K 0.500 0.123 0.376
Br 0.500 0.624 0.876

Summary:
Total energy ... -2.034 eV/atom
Total magnetic moment ... 0.00 μB per formula unit
Formation energy without anion corrections ... -0.1358 eV per atom